(1)
## Ac4IrPt2Se (PBE)

Data for Ac4IrPt2Se after structural relaxation.

Properties
- crystal system = monoclinic
- energy relative to the elements, uncorrected (eV per atom) = -1.18

```
data_Ac4IrPt2Se
_cell_length_a 7.625
_cell_length_b 4.366
_cell_length_c 7.770
_cell_angle_alpha 90.00
_cell_angle_beta 108.67
_cell_angle_gamma 90.00
_symmetry_space_group_name_H-M 'P 1 2/m 1'
_symmetry_Int_Tables_number 10
loop_
_symmetry_equiv_pos_as_xyz
'x,y,z'
'-x,-y,-z'
'-x,y,-z'
'x,-y,z'
loop_
_atom_site_label
_atom_site_fract_x
_atom_site_fract_y
_atom_site_fract_z
Ac1 0.244 0.000 0.233
Ac2 0.253 0.500 0.763
Ir1 0.500 0.000 0.000
Pt1 0.000 0.000 0.500
Pt2 0.000 0.500 0.000
Se1 0.500 0.500 0.500
```



(2)
## TcSb2TeH (PBE)

Data for TcSb2TeH after structural relaxation.

Properties
- crystal system = tetragonal
- E above lowest polymorph (eV/atom) = 0.000

```
data_TcSb2TeH
_cell_length_a 4.322
_cell_length_b 4.322
_cell_length_c 5.377
_cell_angle_alpha 90.00
_cell_angle_beta 90.00
_cell_angle_gamma 90.00
_symmetry_space_group_name_H-M 'P 4/m m m'
_symmetry_Int_Tables_number 123
_symmetry_space_group_name_Hall '-P 4 2'
loop_
_atom_site_label
_atom_site_fract_x
_atom_site_fract_y
_atom_site_fract_z
Tc1 0.000 0.000 0.000
Sb1 0.000 0.500 0.500
Te1 0.500 0.500 0.000
H1 0.500 0.500 0.500
```



(3)
## Ru2BrCl (PBE)

Data for Ru2BrCl after structural relaxation.

Properties
- crystal system = monoclinic
- E above lowest polymorph (eV/atom) = 0.584
- energy relative to the elements, uncorrected (eV per atom) = 0.77

```
data_Ru2BrCl
_cell_length_a 8.107
_cell_length_b 3.052
_cell_length_c 5.292
_cell_angle_alpha 90.00
_cell_angle_beta 102.39
_cell_angle_gamma 90.00
_symmetry_space_group_name_H-M 'C 1 2/m 1'
_symmetry_Int_Tables_number 12
loop_
_symmetry_equiv_pos_as_xyz
'x,y,z'
'-x,-y,-z'
'-x,y,-z'
'x,-y,z'
'x+1/2,y+1/2,z'
'-x+1/2,-y+1/2,-z'
'-x+1/2,y+1/2,-z'
'x+1/2,-y+1/2,z'
loop_
_atom_site_label
_atom_site_fract_x
_atom_site_fract_y
_atom_site_fract_z
Ru1 0.250 0.000 0.236
Br1 0.000 0.000 0.500
Cl1 0.000 0.500 0.000
```



(4)
## Mn2Al3 (PBE)

Data for Mn2Al3 after structural relaxation.

Properties
- crystal system = trigonal
- ΔH_f (0 K) (eV/atom) = -0.0937

```
data_Mn2Al3
_cell_length_a 2.7649
_cell_length_b 2.7649
_cell_length_c 31.9990
_cell_angle_alpha 90.00
_cell_angle_beta 90.00
_cell_angle_gamma 120.00
_symmetry_space_group_name_H-M 'R -3 m'
_symmetry_Int_Tables_number 166
_symmetry_space_group_name_Hall '-R 3 2"'
loop_
_atom_site_label
_atom_site_fract_x
_atom_site_fract_y
_atom_site_fract_z
Mn1 0.0000 0.0000 0.1010
Al1 0.0000 0.0000 0.2963
Al2 0.0000 0.0000 0.5000
```



(5)
## ReNiBr2 (PBE)

Data for ReNiBr2 after structural relaxation.

Properties
- crystal system = tetragonal
- E above lowest polymorph (eV/atom) = 0.884
- energy relative to the elements, uncorrected (eV per atom) = 1.21

```
data_ReNiBr2
_cell_length_a 3.203
_cell_length_b 3.203
_cell_length_c 6.362
_cell_angle_alpha 90.00
_cell_angle_beta 90.00
_cell_angle_gamma 90.00
_symmetry_space_group_name_H-M 'P 4/m m m'
_symmetry_Int_Tables_number 123
_symmetry_space_group_name_Hall '-P 4 2'
loop_
_atom_site_label
_atom_site_fract_x
_atom_site_fract_y
_atom_site_fract_z
Re1 0.000 0.000 0.000
Ni1 0.000 0.000 0.500
Br1 0.500 0.500 0.252
```



(6)
## SmTm2Al3 (PBE)

Data for SmTm2Al3 after structural relaxation.

Properties
- crystal system = tetragonal
- E above lowest polymorph (eV/atom) = 0.000
- ΔH_f (0 K) (eV/atom) = -0.3857

```
data_SmTm2Al3
_cell_length_a 3.577
_cell_length_b 3.577
_cell_length_c 10.874
_cell_angle_alpha 90.00
_cell_angle_beta 90.00
_cell_angle_gamma 90.00
_symmetry_space_group_name_H-M 'P 4/m m m'
_symmetry_Int_Tables_number 123
_symmetry_space_group_name_Hall '-P 4 2'
loop_
_atom_site_label
_atom_site_fract_x
_atom_site_fract_y
_atom_site_fract_z
Sm1 0.000 0.000 0.000
Tm1 0.000 0.000 0.338
Al1 0.500 0.500 0.179
Al2 0.500 0.500 0.500
```



(7)
## AlZn2Tc (PBE)

Data for AlZn2Tc after structural relaxation.

Properties
- crystal system = trigonal
- ΔH_f (0 K) (eV/atom) = 0.0303

```
data_AlZn2Tc
_cell_length_a 2.8365
_cell_length_b 2.8365
_cell_length_c 25.8908
_cell_angle_alpha 90.00
_cell_angle_beta 90.00
_cell_angle_gamma 120.00
_symmetry_space_group_name_H-M 'R 3 m'
_symmetry_Int_Tables_number 160
_symmetry_space_group_name_Hall 'R 3 -2"'
loop_
_atom_site_label
_atom_site_fract_x
_atom_site_fract_y
_atom_site_fract_z
Al1 0.0000 0.0000 0.0000
Zn1 0.0000 0.0000 0.2484
Zn2 0.0000 0.0000 0.4972
Tc1 0.0000 0.0000 0.7471
```



(8)
## LiTlCr3 (PBE)

Data for LiTlCr3 after structural relaxation.

Properties
- crystal system = cubic
- E above lowest polymorph (eV/atom) = 0.007
- ΔH_f (0 K) (eV/atom) = 1.4409

```
data_LiTlCr3
_cell_length_a 4.134
_cell_length_b 4.134
_cell_length_c 4.134
_cell_angle_alpha 90.00
_cell_angle_beta 90.00
_cell_angle_gamma 90.00
_symmetry_space_group_name_H-M 'P m -3 m'
_symmetry_Int_Tables_number 221
_symmetry_space_group_name_Hall '-P 4 2 3'
loop_
_atom_site_label
_atom_site_fract_x
_atom_site_fract_y
_atom_site_fract_z
Li1 0.000 0.000 0.000
Tl1 0.500 0.500 0.500
Cr1 0.000 0.000 0.500
```